Record 1
4
Lattice="-1.4363 2.7600 3.9337 1.4363 -2.7600 3.9337 1.4363 2.7600 -3.9337" Properties=species:S:1:pos:R:3 comment="PRu2Cl, relaxed, DFT GGA-PBE" de_polymorph_ev_per_atom=0.516 crystal_system=orthorhombic dos_at_fermi_per_ev_cell=3.297 pbc="T T T"
P 0.0000 0.0000 0.0000
Ru 1.4363 0.0000 1.7773
Ru 0.0000 2.7600 2.1564
Cl 0.0000 0.0000 3.9337

***

Record 2
4
Lattice="1.4230 -2.7273 0.0000 1.4230 2.7273 0.0000 0.0000 0.0000 11.7817" Properties=species:S:1:pos:R:3 comment="PRuCl2, relaxed, DFT GGA-PBE" de_polymorph_ev_per_atom=1.018 crystal_system=orthorhombic dos_at_fermi_per_ev_cell=4.185 pbc="T T T"
P 0.0000 0.0000 0.0000
Ru 0.0000 0.0000 5.8909
Cl 1.4230 0.0000 4.0182
Cl 1.4230 0.0000 7.7635

***

Record 3
4
Lattice="0.0000 3.1010 3.1010 3.1010 0.0000 3.1010 3.1010 3.1010 0.0000" Properties=species:S:1:pos:R:3 comment="P2RuCl, relaxed, DFT GGA-PBE" de_polymorph_ev_per_atom=0.982 crystal_system=cubic dos_at_fermi_per_ev_cell=3.801 pbc="T T T"
P 1.5505 1.5505 1.5505
P 4.6515 4.6515 4.6515
Ru 0.0000 0.0000 0.0000
Cl 3.1010 3.1010 3.1010

***

Record 4
4
Lattice="4.7126 0.0000 0.0000 0.0000 3.4684 0.0000 -1.8572 0.0000 4.8562" Properties=species:S:1:pos:R:3 comment="PRuCl2, relaxed, DFT GGA-PBE" de_polymorph_ev_per_atom=0.256 crystal_system=monoclinic dos_at_fermi_per_ev_cell=2.536 pbc="T T T"
P 0.0000 0.0000 0.0000
Ru -0.0205 1.7342 1.3588
Cl 0.0270 0.0000 3.5573
Cl 2.3246 1.7342 1.8448

***

Record 5
8
Lattice="-2.0754 2.0754 8.2581 2.0754 -2.0754 8.2581 2.0754 2.0754 -8.2581" Properties=species:S:1:pos:R:3 comment="PRuCl2, relaxed, DFT GGA-PBE" de_polymorph_ev_per_atom=1.187 crystal_system=tetragonal dos_at_fermi_per_ev_cell=3.920 pbc="T T T"
P 0.0000 0.0000 0.0000
P 0.0000 2.0754 4.1291
Ru 2.0754 0.0000 4.1291
Ru 0.0000 0.0000 8.2581
Cl 1.0377 -0.9783 6.1936
Cl 1.0971 1.0377 2.0645
Cl 1.0377 3.0537 -2.0645
Cl 0.9783 1.0377 10.3227

***

Record 6
6
Lattice="0.0000 4.0065 4.0065 4.0065 0.0000 4.0065 4.0065 4.0065 0.0000" Properties=species:S:1:pos:R:3 comment="PRuCl4, relaxed, DFT GGA-PBE" crystal_system=cubic dos_at_fermi_per_ev_cell=8.778 dft_energy_ry_per_atom=-0.1644 pbc="T T T"
P 0.0000 0.0000 0.0000
Ru 6.0098 6.0098 6.0098
Cl 3.0124 3.0124 3.0124
Cl 5.0006 5.0006 3.0124
Cl 5.0006 3.0124 5.0006
Cl 3.0124 5.0006 5.0006

***

Record 7
4
Lattice="3.0767 0.0000 0.0000 0.0000 3.0767 0.0000 0.0000 0.0000 7.2317" Properties=species:S:1:pos:R:3 comment="P2RuCl, relaxed, DFT GGA-PBE" de_polymorph_ev_per_atom=0.319 crystal_system=tetragonal dos_at_fermi_per_ev_cell=2.450 pbc="T T T"
P 0.0000 0.0000 0.0000
P 1.5384 1.5384 1.2385
Ru 0.0000 0.0000 2.3892
Cl 1.5384 1.5384 4.2457

***

Record 8
4
Lattice="0.0000 3.0138 3.0138 3.0138 0.0000 3.0138 3.0138 3.0138 0.0000" Properties=species:S:1:pos:R:3 comment="PRu2Cl, relaxed, DFT GGA-PBE" de_polymorph_ev_per_atom=0.570 crystal_system=cubic dos_at_fermi_per_ev_cell=1.626 pbc="T T T"
P 0.0000 0.0000 0.0000
Ru 1.5069 1.5069 1.5069
Ru 4.5207 4.5207 4.5207
Cl 3.0138 3.0138 3.0138

***

Record 9
8
Lattice="-2.6389 2.6389 5.3661 2.6389 -2.6389 5.3661 2.6389 2.6389 -5.3661" Properties=species:S:1:pos:R:3 comment="PRu2Cl, relaxed, DFT GGA-PBE" de_polymorph_ev_per_atom=0.378 crystal_system=tetragonal dos_at_fermi_per_ev_cell=5.588 pbc="T T T"
P 0.0000 0.0000 0.0000
P 0.0000 2.6389 2.6830
Ru 3.9583 1.1496 -1.3415
Ru 1.1496 1.3194 1.3415
Ru -1.3194 1.4893 4.0246
Ru 1.4893 1.3194 6.7076
Cl 2.6389 0.0000 2.6830
Cl 0.0000 0.0000 5.3661

***

Record 10
4
Lattice="2.9384 0.0000 0.0000 0.0000 2.9384 0.0000 0.0000 0.0000 6.6861" Properties=species:S:1:pos:R:3 comment="PRu2Cl, relaxed, DFT GGA-PBE" de_polymorph_ev_per_atom=0.283 crystal_system=tetragonal dos_at_fermi_per_ev_cell=5.912 pbc="T T T"
P 0.0000 0.0000 0.0000
Ru 1.4692 1.4692 1.3270
Ru 1.4692 1.4692 5.3591
Cl 0.0000 0.0000 3.3430

***

Record 11
4
Lattice="3.0382 0.0000 0.0000 0.0000 4.1325 0.0000 0.0000 0.0000 4.6785" Properties=species:S:1:pos:R:3 comment="P2RuCl, relaxed, DFT GGA-PBE" de_polymorph_ev_per_atom=0.893 crystal_system=orthorhombic dos_at_fermi_per_ev_cell=1.811 pbc="T T T"
P 0.0000 0.0000 0.0000
P 1.5191 2.0662 0.0000
Ru 0.0000 2.0662 2.3392
Cl 1.5191 0.0000 2.3392

***

Record 12
4
Lattice="3.0582 0.0000 0.0000 0.0000 4.1803 0.0000 -0.8363 0.0000 6.3006" Properties=species:S:1:pos:R:3 comment="PRu2Cl, relaxed, DFT GGA-PBE" de_polymorph_ev_per_atom=0.296 crystal_system=monoclinic dos_at_fermi_per_ev_cell=4.309 pbc="T T T"
P 0.0000 0.0000 0.0000
Ru 0.0494 2.0902 0.9230
Ru 1.5146 0.0000 1.7713
Cl 0.9595 2.0902 3.1302

***

Record 13
4
Lattice="-2.4710 2.4710 2.5085 2.4710 -2.4710 2.5085 2.4710 2.4710 -2.5085" Properties=species:S:1:pos:R:3 comment="P2RuCl, relaxed, DFT GGA-PBE" de_polymorph_ev_per_atom=0.630 crystal_system=tetragonal dos_at_fermi_per_ev_cell=2.847 pbc="T T T"
P 2.4710 0.0000 0.0000
P 0.0000 2.4710 0.0000
Ru 0.0000 0.0000 0.0000
Cl 0.0000 0.0000 2.5085

***

Record 14
4
Lattice="2.8531 0.0000 0.0000 0.0000 3.6035 0.0000 0.0000 0.0000 7.1084" Properties=species:S:1:pos:R:3 comment="PRu2Cl, relaxed, DFT GGA-PBE" de_polymorph_ev_per_atom=0.359 crystal_system=orthorhombic dos_at_fermi_per_ev_cell=3.744 pbc="T T T"
P 0.0000 0.0000 0.0000
Ru 0.0000 0.0000 2.2673
Ru 1.4266 1.8017 0.5878
Cl 1.4266 1.8017 3.6806

***

Record 15
6
Lattice="0.0000 3.6648 3.6648 3.6648 0.0000 3.6648 3.6648 3.6648 0.0000" Properties=species:S:1:pos:R:3 comment="PRu4Cl, relaxed, DFT GGA-PBE" crystal_system=cubic dos_at_fermi_per_ev_cell=9.293 dft_energy_ry_per_atom=-0.4585 pbc="T T T"
P 0.0000 0.0000 0.0000
Ru 4.5846 2.7449 2.7449
Ru 2.7449 4.5846 2.7449
Ru 2.7449 2.7449 4.5846
Ru 4.5846 4.5846 4.5846
Cl 1.8324 1.8324 1.8324